Record 1
! PBE MgTaAg4, relaxed; values from VASP
! - DFT total energy (eV per atom) = -3.72
! - crystal system = cubic
&SYSTEM
  ibrav = 0, nat = 6, ntyp = 3
/
ATOMIC_SPECIES
Mg 24.30 Mg.upf
Ta 180.95 Ta.upf
Ag 107.87 Ag.upf
CELL_PARAMETERS angstrom
0.0000 3.8360 3.8360
3.8360 0.0000 3.8360
3.8360 3.8360 0.0000
ATOMIC_POSITIONS crystal
Mg 0.0000 0.0000 0.0000
Ta 0.7500 0.7500 0.7500
Ag 0.3752 0.3752 0.3752
Ag 0.3752 0.3752 0.8745
Ag 0.3752 0.8745 0.3752
Ag 0.8745 0.3752 0.3752



Record 2
! PBE Ho5Cd3, relaxed; values from VASP
! - DFT total energy (eV per atom) = -3.42
! - crystal system = tetragonal
&SYSTEM
  ibrav = 0, nat = 8, ntyp = 2
/
ATOMIC_SPECIES
Ho 164.93 Ho.upf
Cd 112.41 Cd.upf
CELL_PARAMETERS angstrom
3.6310 0.0000 0.0000
0.0000 3.6310 0.0000
0.0000 0.0000 16.6465
ATOMIC_POSITIONS crystal
Ho 0.0000 0.0000 0.0000
Ho 0.0000 0.0000 0.2349
Ho 0.0000 0.0000 0.7651
Ho 0.5000 0.5000 0.3802
Ho 0.5000 0.5000 0.6198
Cd 0.0000 0.0000 0.5000
Cd 0.5000 0.5000 0.1161
Cd 0.5000 0.5000 0.8839



Record 3
! PBE La2Al12Ni3Au, relaxed; values from VASP
! - DFT total energy (eV per atom) = -4.22
! - crystal system = trigonal
&SYSTEM
  ibrav = 0, nat = 18, ntyp = 4
/
ATOMIC_SPECIES
La 138.91 La.upf
Al 26.98 Al.upf
Ni 58.69 Ni.upf
Au 196.97 Au.upf
CELL_PARAMETERS angstrom
4.1092 2.3725 6.3395
-4.1092 2.3725 6.3395
0.0000 -4.7449 6.3395
ATOMIC_POSITIONS crystal
La 0.0814 0.0814 0.0814
La 0.9186 0.9186 0.9186
Al 0.0470 0.6620 0.6620
Al 0.2707 0.2707 0.6193
Al 0.2707 0.6193 0.2707
Al 0.3380 0.3380 0.9530
Al 0.3380 0.9530 0.3380
Al 0.3807 0.7293 0.7293
Al 0.6193 0.2707 0.2707
Al 0.6620 0.0470 0.6620
Al 0.6620 0.6620 0.0470
Al 0.7293 0.3807 0.7293
Al 0.7293 0.7293 0.3807
Al 0.9530 0.3380 0.3380
Ni 0.0000 0.5000 0.5000
Ni 0.5000 0.0000 0.5000
Ni 0.5000 0.5000 0.0000
Au 0.5000 0.5000 0.5000



Record 4
! PBE Al3BiBr, relaxed; values from VASP
! - DFT total energy (eV per atom) = -2.64
! - distance to the lowest polymorph of the same formula (meV per atom) = 32
! - crystal system = cubic
! - energy relative to the elements, uncorrected (eV/f.u.) = 3.58
&SYSTEM
  ibrav = 0, nat = 5, ntyp = 3
/
ATOMIC_SPECIES
Al 26.98 Al.upf
Bi 208.98 Bi.upf
Br 79.90 Br.upf
CELL_PARAMETERS angstrom
5.7721 0.0000 0.0000
0.0000 5.7721 0.0000
0.0000 0.0000 5.7721
ATOMIC_POSITIONS crystal
Al 0.0000 0.0000 0.5000
Al 0.0000 0.5000 0.0000
Al 0.5000 0.0000 0.0000
Bi 0.0000 0.0000 0.0000
Br 0.5000 0.5000 0.5000



Record 5
! PBE GdTmSc4, relaxed; values from VASP
! - DFT total energy (eV per atom) = -7.11
! - crystal system = cubic
&SYSTEM
  ibrav = 0, nat = 6, ntyp = 3
/
ATOMIC_SPECIES
Gd 157.25 Gd.upf
Tm 168.93 Tm.upf
Sc 44.96 Sc.upf
CELL_PARAMETERS angstrom
0.0000 4.4135 4.4135
4.4135 0.0000 4.4135
4.4135 4.4135 0.0000
ATOMIC_POSITIONS crystal
Gd 0.0000 0.0000 0.0000
Tm 0.2500 0.2500 0.2500
Sc 0.1247 0.6251 0.6251
Sc 0.6251 0.1247 0.6251
Sc 0.6251 0.6251 0.1247
Sc 0.6251 0.6251 0.6251



Record 6
! PBE ZrOs2Br, relaxed; values from VASP
! - DFT total energy (eV per atom) = -7.53
! - distance to the lowest polymorph of the same formula (meV per atom) = 518
! - crystal system = orthorhombic
! - energy relative to the elements, uncorrected (eV/f.u.) = 2.55
&SYSTEM
  ibrav = 0, nat = 4, ntyp = 3
/
ATOMIC_SPECIES
Zr 91.22 Zr.upf
Os 190.23 Os.upf
Br 79.90 Br.upf
CELL_PARAMETERS angstrom
3.1751 0.0000 0.0000
0.0000 4.2027 0.0000
0.0000 0.0000 5.3721
ATOMIC_POSITIONS crystal
Zr 0.0000 0.0000 0.0000
Os 0.5000 0.5000 0.2321
Os 0.5000 0.5000 0.7679
Br 0.0000 0.0000 0.5000



Record 7
! PBE LiTi2CdH, relaxed; values from VASP
! - DFT total energy (eV per atom) = -4.47
! - crystal system = tetragonal
&SYSTEM
  ibrav = 0, nat = 5, ntyp = 4
/
ATOMIC_SPECIES
Li 6.94 Li.upf
Ti 47.87 Ti.upf
Cd 112.41 Cd.upf
H 1.01 H.upf
CELL_PARAMETERS angstrom
4.0078 0.0000 0.0000
0.0000 4.0078 0.0000
0.0000 0.0000 4.3693
ATOMIC_POSITIONS crystal
Li 0.0000 0.0000 0.0000
Ti 0.0000 0.5000 0.5000
Ti 0.5000 0.0000 0.5000
Cd 0.5000 0.5000 0.0000
H 0.0000 0.0000 0.5000



Record 8
! PBE Li2GeF8, relaxed; values from VASP
! - DFT total energy (eV per atom) = -4.28
! - crystal system = monoclinic
! - energy relative to the elements, uncorrected (eV/f.u.) = -23.71
&SYSTEM
  ibrav = 0, nat = 11, ntyp = 3
/
ATOMIC_SPECIES
Li 6.94 Li.upf
Ge 72.64 Ge.upf
F 19.00 F.upf
CELL_PARAMETERS angstrom
5.2621 -2.8628 0.0000
5.2621 2.8628 0.0000
-4.5647 0.0000 5.3199
ATOMIC_POSITIONS crystal
Li 0.2079 0.2079 0.4773
Li 0.7921 0.7921 0.5227
Ge 0.5000 0.5000 0.5000
F 0.0369 0.0369 0.9427
F 0.1273 0.5709 0.4472
F 0.3971 0.3971 0.1760
F 0.4291 0.8727 0.5528
F 0.5709 0.1273 0.4472
F 0.6029 0.6029 0.8240
F 0.8727 0.4291 0.5528
F 0.9631 0.9631 0.0573



Record 9
! PBE Tm5Mg2Pb5, relaxed; values from VASP
! - DFT total energy (eV per atom) = -3.93
! - distance to the lowest polymorph of the same formula (meV per atom) = 81
! - crystal system = monoclinic
&SYSTEM
  ibrav = 0, nat = 12, ntyp = 3
/
ATOMIC_SPECIES
Tm 168.93 Tm.upf
Mg 24.30 Mg.upf
Pb 207.20 Pb.upf
CELL_PARAMETERS angstrom
6.7528 -2.3643 0.0000
6.7528 2.3643 0.0000
-5.4230 0.0000 10.5235
ATOMIC_POSITIONS crystal
Tm 0.0000 0.0000 0.0000
Tm 0.1388 0.1388 0.7865
Tm 0.1512 0.1512 0.4956
Tm 0.8488 0.8488 0.5044
Tm 0.8612 0.8612 0.2135
Mg 0.4138 0.4138 0.7343
Mg 0.5862 0.5862 0.2657
Pb 0.2321 0.2321 0.2825
Pb 0.3678 0.3678 0.0360
Pb 0.5000 0.5000 0.5000
Pb 0.6322 0.6322 0.9640
Pb 0.7679 0.7679 0.7175